KNaTlHg: relaxed, PBE-GGA.

Cell: 5.279 5.279 17.569 Å, 90.00 90.00 120.00°
Sites, in units of the cell vectors:
K 0.000 0.000 0.000
K 0.333 0.667 0.667
K 0.667 0.333 0.333
Na 0.000 0.000 0.206
Na 0.333 0.667 0.873
Na 0.667 0.333 0.539
Tl 0.000 0.000 0.461
Tl 0.333 0.667 0.128
Tl 0.667 0.333 0.794
Hg 0.000 0.000 0.793
Hg 0.333 0.667 0.459
Hg 0.667 0.333 0.126

Results
Calculated volume in Å³/cell: 424.0
E above lowest polymorph in eV/f.u.: 0.00
Mass density in g/cm³: 5.49
Magnetization in μB per formula unit: 0.00
DFT formation energy in eV/atom: -0.144